*i*
Here is a geometry-optimized LaSbCl2 structure from Alexandria via LeMat-Bulk. Energies are from PBE.

abc: 3.6469 3.6469 34.8012
angles: 90.00 90.00 120.00
Last column: nearest neighbours and their distance in Å.
Space group R-3m (No. 166, hexagonal axes)
Asymmetric unit:
La  0.0000  0.0000  0.0000 (multiplicity 3)  6 Cl 2.86
Sb  0.0000  0.0000  0.5000 (multiplicity 3)  6 Sb 3.65, 2 Cl 3.87
Cl  0.0000  0.0000  0.3889 (multiplicity 6)  3 La 2.86

Calculated values
The crystal system is trigonal.

---

*ii*
Here is a geometry-optimized LaSbCl2 structure from Alexandria via LeMat-Bulk. Energies are from PBE.

abc: 7.6104 7.6104 7.6104
angles: 90.00 90.00 90.00
Last column: nearest neighbours and their distance in Å.
Space group F-43m (No. 216)
Asymmetric unit:
La  0.0000  0.0000  0.0000 (multiplicity 4)  4 Cl 3.30, 4 Sb 3.30
Sb  0.2500  0.2500  0.2500 (multiplicity 4)  4 Cl 3.30, 4 La 3.30
Cl  0.0000  0.0000  0.5000 (multiplicity 4)  4 Cl 3.30, 4 Sb 3.30
Cl  0.2500  0.2500  0.7500 (multiplicity 4)  4 Cl 3.30, 4 La 3.30

Calculated values
The crystal system is cubic.

---

The most stable arrangement is *i*, and the next structure is 253 meV/atom less stable.

---

*i*
Here is a geometry-optimized YHgBr2 structure from Alexandria via LeMat-Bulk. Energies are from PBE.

abc: 4.4925 4.4925 10.4771
angles: 90.00 90.00 90.00
Last column: nearest neighbours and their distance in Å.
Space group I-4m2 (No. 119)
Asymmetric unit:
Y  0.0000  0.0000  0.0000 (multiplicity 2)  8 Br 3.18-3.45, 4 Hg 3.45
Hg  0.0000  0.5000  0.2500 (multiplicity 2)  8 Br 3.18-3.45, 4 Y 3.45
Br  0.0000  0.0000  0.5000 (multiplicity 2)  4 Y 3.18, 4 Hg 3.45, 4 Br 3.45
Br  0.0000  0.5000  0.7500 (multiplicity 2)  4 Hg 3.18, 4 Br 3.45, 4 Y 3.45

Calculated values
The crystal system is tetragonal.

---

*ii*
Here is a geometry-optimized YHgBr2 structure from Alexandria via LeMat-Bulk. Energies are from PBE.

abc: 3.8048 3.8048 8.3172
angles: 90.00 90.00 90.00
Last column: nearest neighbours and their distance in Å.
Space group P4mm (No. 99)
Asymmetric unit:
Y  0.0000  0.0000  0.0000 (multiplicity 1)  5 Br 3.12-3.18, 4 Hg 3.18
Hg  0.5000  0.5000  0.7958 (multiplicity 1)  5 Br 3.04-3.40, 4 Y 3.18
Br  0.0000  0.0000  0.6254 (multiplicity 1)  4 Hg 3.04, 1 Y 3.12
Br  0.5000  0.5000  0.2049 (multiplicity 1)  4 Y 3.18, 1 Hg 3.40

Calculated values
The crystal system is tetragonal.

---

The most stable arrangement is *ii*, and the next structure is 178 meV/atom less stable.

---

*i*
Here is a geometry-optimized B2C structure from Alexandria via LeMat-Bulk. Energies are from PBE.

abc: 3.5234 5.3014 5.4251
angles: 62.69 82.47 80.39
Last column: nearest neighbours and their distance in Å.
Space group P1 (No. 1)
Asymmetric unit:
B  0.0000  0.0000  0.0000 (multiplicity 1)  4 B 1.70-1.78
B  0.0141  0.2852  0.1454 (multiplicity 1)  1 C 1.54
B  0.1159  0.8493  0.6537 (multiplicity 1)  2 C 1.53-1.57, 1 B 1.71
B  0.3077  0.5003  0.8330 (multiplicity 1)  1 C 1.63, 2 B 1.71-1.79
B  0.3876  0.7474  0.9796 (multiplicity 1)  1 C 1.64, 1 B 1.78
B  0.6427  0.0761  0.7631 (multiplicity 1)  1 C 1.58
B  0.8004  0.3462  0.8396 (multiplicity 1)  1 C 1.58, 1 B 1.70
B  0.9178  0.6876  0.2973 (multiplicity 1)  2 C 1.54-1.58
C  0.2502  0.1168  0.4056 (multiplicity 1)  1 C 1.37, 1 B 1.53
C  0.5123  0.2509  0.4550 (multiplicity 1)  2 C 1.37-1.49
C  0.6618  0.5135  0.2287 (multiplicity 1)  1 C 1.49, 2 B 1.58-1.64
C  0.9921  0.6088  0.5997 (multiplicity 1)  4 B 1.54-1.63

Calculated values
The crystal system is triclinic.

---

*ii*
Here is a geometry-optimized B2C structure from Alexandria via LeMat-Bulk. Energies are from PBE.

abc: 10.5211 2.7213 5.7965
angles: 90.00 99.58 90.00
Last column: nearest neighbours and their distance in Å.
Space group Cm (No. 8)
Asymmetric unit:
B  0.0000  0.0000  0.0000 (multiplicity 2)  1 C 1.64, 2 B 1.79
B  0.0007  0.5000  0.7991 (multiplicity 2)  5 B 1.64-1.82, 1 C 1.70
B  0.0925  0.0000  0.7003 (multiplicity 2)  1 C 1.68, 4 B 1.72-1.82
B  0.1876  0.5000  0.7937 (multiplicity 2)  3 B 1.71-1.72
B  0.2894  0.5000  0.5153 (multiplicity 2)  3 C 1.60-1.63
B  0.2959  0.5000  0.0484 (multiplicity 2)  1 C 1.66, 3 B 1.71-1.78
B  0.3754  0.0000  0.9342 (multiplicity 2)  3 B 1.64-1.78, 1 C 1.80
B  0.4685  0.0000  0.4635 (multiplicity 2)  3 C 1.55-1.62
C  0.0301  0.0000  0.4144 (multiplicity 2)  1 C 1.52, 3 B 1.55-1.68
C  0.1156  0.0000  0.2280 (multiplicity 2)  3 C 1.52-1.64, 1 B 1.64
C  0.2032  0.5000  0.2547 (multiplicity 2)  2 B 1.63-1.66, 2 C 1.64
C  0.3550  0.0000  0.6202 (multiplicity 2)  4 B 1.60-1.70

Calculated values
The crystal system is monoclinic.

---

The most stable arrangement is *ii*, and the next structure is 82 meV/atom less stable.